# CaNiO2 | Alexandria via LeMat-Bulk | PBE+U | relaxed
data_CaNiO2
_chemical_formula_sum 'Ca4 Ni4 O8'
_cell_length_a 3.252
_cell_length_b 8.431
_cell_length_c 8.981
_cell_angle_alpha 63.15
_cell_angle_beta 89.98
_cell_angle_gamma 78.88
_space_group_name_H-M_alt 'P 1'
_space_group_IT_number 1
_space_group_name_Hall 'P 1'
loop_
_atom_site_label
_atom_site_fract_x
_atom_site_fract_y
_atom_site_fract_z
_atom_site_occupancy
Ca1 0.109 0.281 0.497 1
Ca2 0.155 0.191 0.171 1
Ca3 0.845 0.809 0.829 1
Ca4 0.891 0.719 0.503 1
Ni1 0.188 0.123 0.847 1
Ni2 0.466 0.567 0.203 1
Ni3 0.534 0.433 0.797 1
Ni4 0.812 0.877 0.153 1
O1 0.050 0.401 0.693 1
O2 0.303 0.893 0.307 1
O3 0.334 0.832 0.011 1
O4 0.402 0.696 0.715 1
O5 0.598 0.304 0.285 1
O6 0.666 0.168 0.989 1
O7 0.697 0.107 0.693 1
O8 0.950 0.599 0.307 1
# **Magnetization**: 2.0 μB per formula unit
# **Raw total energy**: -5.499 eV per atom
# **Crystal system**: triclinic